An optimized crystal structure of BaMn2Cr, computed with GGA-PBE.

As for the offset from the most stable computed form: 0.312 eV per atom. The size of the total moment comes out at 3.94 μB/f.u. The energy relative to the elements comes out at 799.4 meV/atom. The total energy comes out at -0.245 Ha/atom.

Unit cell a=4.245 b=5.943 c=7.946 alpha=90.00 beta=90.00 gamma=90.00
Space group Immm (No. 71)
Symmetry-distinct sites (fractional):
Ba: 0.000 0.000 0.000 (multiplicity 2)
Mn: 0.000 0.500 0.172 (multiplicity 4)
Cr: 0.000 0.000 0.500 (multiplicity 2)